No. 1
First-principles (PBE) data for a geometry-optimized Pr3Sm6Th structure, as listed in Alexandria via LeMat-Bulk.

Cell and atoms, written as CIF:
```
data_Pr3Sm6Th
_chemical_formula_sum 'Pr6 Sm12 Th2'
_cell_length_a 13.3984
_cell_length_b 3.5885
_cell_length_c 14.6328
_cell_angle_alpha 90.00
_cell_angle_beta 100.34
_cell_angle_gamma 90.00
_space_group_name_H-M_alt 'P 1'
_space_group_IT_number 1
loop_
_space_group_symop_operation_xyz
'x,y,z'
loop_
_atom_site_label
_atom_site_type_symbol
_atom_site_fract_x
_atom_site_fract_y
_atom_site_fract_z
Pr1 Pr 0.0741 0.2500 0.1027
Pr2 Pr 0.3734 0.7500 0.4957
Pr3 Pr 0.4203 0.2500 0.9018
Pr4 Pr 0.5797 0.7500 0.0982
Pr5 Pr 0.6266 0.2500 0.5043
Pr6 Pr 0.9259 0.7500 0.8973
Sm1 Sm 0.1184 0.2500 0.4864
Sm2 Sm 0.1881 0.7500 0.9186
Sm3 Sm 0.2182 0.7500 0.2885
Sm4 Sm 0.2673 0.7500 0.6983
Sm5 Sm 0.3436 0.2500 0.1205
Sm6 Sm 0.4987 0.7500 0.3088
Sm7 Sm 0.5013 0.2500 0.6912
Sm8 Sm 0.6564 0.7500 0.8795
Sm9 Sm 0.7327 0.2500 0.3017
Sm10 Sm 0.7818 0.2500 0.7115
Sm11 Sm 0.8119 0.2500 0.0814
Sm12 Sm 0.8816 0.7500 0.5136
Th1 Th 0.0402 0.2500 0.7202
Th2 Th 0.9598 0.7500 0.2798
```

symmetry	P2_1/m
crystal system	monoclinic
energy relative to the lowest polymorph listed for this composition	0.000	eV/atom
E_form	0.081	eV per atom

No. 2
First-principles (PBE) data for a geometry-optimized Ce2AlIn8 structure, as listed in Alexandria via LeMat-Bulk.

Cell and atoms, written as CIF:
```
data_Ce2AlIn8
_chemical_formula_sum 'Ce2 Al1 In8'
_cell_length_a 4.8344
_cell_length_b 4.8344
_cell_length_c 12.2581
_cell_angle_alpha 90.00
_cell_angle_beta 90.00
_cell_angle_gamma 90.00
_space_group_name_H-M_alt 'P 1'
_space_group_IT_number 1
loop_
_space_group_symop_operation_xyz
'x,y,z'
loop_
_atom_site_label
_atom_site_type_symbol
_atom_site_fract_x
_atom_site_fract_y
_atom_site_fract_z
Ce1 Ce 0.0000 0.0000 0.1897
Ce2 Ce 0.0000 0.0000 0.8103
Al1 Al 0.0000 0.0000 0.5000
In1 In 0.0000 0.5000 0.0000
In2 In 0.0000 0.5000 0.3709
In3 In 0.0000 0.5000 0.6291
In4 In 0.5000 0.0000 0.0000
In5 In 0.5000 0.0000 0.3709
In6 In 0.5000 0.0000 0.6291
In7 In 0.5000 0.5000 0.1850
In8 In 0.5000 0.5000 0.8150
```

symmetry	P4/mmm
crystal system	tetragonal
E_form	-0.255	eV per atom

No. 3
First-principles (PBE) data for a geometry-optimized PRuRhO2 structure, as listed in Alexandria via LeMat-Bulk.

Cell and atoms, written as CIF:
```
data_PRuRhO2
_chemical_formula_sum 'P1 Ru1 Rh1 O2'
_cell_length_a 3.6635
_cell_length_b 3.6635
_cell_length_c 5.6692
_cell_angle_alpha 90.00
_cell_angle_beta 90.00
_cell_angle_gamma 90.00
_space_group_name_H-M_alt 'P 1'
_space_group_IT_number 1
loop_
_space_group_symop_operation_xyz
'x,y,z'
loop_
_atom_site_label
_atom_site_type_symbol
_atom_site_fract_x
_atom_site_fract_y
_atom_site_fract_z
P1 P 0.0000 0.0000 0.0000
Ru1 Ru 0.5000 0.5000 0.0000
Rh1 Rh 0.0000 0.0000 0.5000
O1 O 0.0000 0.5000 0.5000
O2 O 0.5000 0.0000 0.5000
```

symmetry	P4/mmm
crystal system	tetragonal
E_form (uncorrected)	0.310	eV per atom
energy relative to the lowest polymorph listed for this composition	0.427	eV/atom

No. 4
First-principles (PBE) data for a geometry-optimized BeAs2Ru structure, as listed in Alexandria via LeMat-Bulk.

Cell and atoms, written as CIF:
```
data_BeAs2Ru
_chemical_formula_sum 'Be1 As2 Ru1'
_cell_length_a 4.1918
_cell_length_b 4.1918
_cell_length_c 5.9731
_cell_angle_alpha 106.64
_cell_angle_beta 106.64
_cell_angle_gamma 43.03
_space_group_name_H-M_alt 'P 1'
_space_group_IT_number 1
loop_
_space_group_symop_operation_xyz
'x,y,z'
loop_
_atom_site_label
_atom_site_type_symbol
_atom_site_fract_x
_atom_site_fract_y
_atom_site_fract_z
Be1 Be 0.0000 0.0000 0.0000
As1 As 0.4819 0.4819 0.6483
As2 As 0.7820 0.7820 0.1779
Ru1 Ru 0.2360 0.2360 0.8261
```

symmetry	Cm
crystal system	monoclinic
E_form	-0.020	eV per atom

Repeat the second record exactly.
First-principles (PBE) data for a geometry-optimized Ce2AlIn8 structure, as listed in Alexandria via LeMat-Bulk.

Cell and atoms, written as CIF:
```
data_Ce2AlIn8
_chemical_formula_sum 'Ce2 Al1 In8'
_cell_length_a 4.8344
_cell_length_b 4.8344
_cell_length_c 12.2581
_cell_angle_alpha 90.00
_cell_angle_beta 90.00
_cell_angle_gamma 90.00
_space_group_name_H-M_alt 'P 1'
_space_group_IT_number 1
loop_
_space_group_symop_operation_xyz
'x,y,z'
loop_
_atom_site_label
_atom_site_type_symbol
_atom_site_fract_x
_atom_site_fract_y
_atom_site_fract_z
Ce1 Ce 0.0000 0.0000 0.1897
Ce2 Ce 0.0000 0.0000 0.8103
Al1 Al 0.0000 0.0000 0.5000
In1 In 0.0000 0.5000 0.0000
In2 In 0.0000 0.5000 0.3709
In3 In 0.0000 0.5000 0.6291
In4 In 0.5000 0.0000 0.0000
In5 In 0.5000 0.0000 0.3709
In6 In 0.5000 0.0000 0.6291
In7 In 0.5000 0.5000 0.1850
In8 In 0.5000 0.5000 0.8150
```

symmetry	P4/mmm
crystal system	tetragonal
E_form	-0.255	eV per atom

Please write out number 3 again, unchanged.
First-principles (PBE) data for a geometry-optimized PRuRhO2 structure, as listed in Alexandria via LeMat-Bulk.

Cell and atoms, written as CIF:
```
data_PRuRhO2
_chemical_formula_sum 'P1 Ru1 Rh1 O2'
_cell_length_a 3.6635
_cell_length_b 3.6635
_cell_length_c 5.6692
_cell_angle_alpha 90.00
_cell_angle_beta 90.00
_cell_angle_gamma 90.00
_space_group_name_H-M_alt 'P 1'
_space_group_IT_number 1
loop_
_space_group_symop_operation_xyz
'x,y,z'
loop_
_atom_site_label
_atom_site_type_symbol
_atom_site_fract_x
_atom_site_fract_y
_atom_site_fract_z
P1 P 0.0000 0.0000 0.0000
Ru1 Ru 0.5000 0.5000 0.0000
Rh1 Rh 0.0000 0.0000 0.5000
O1 O 0.0000 0.5000 0.5000
O2 O 0.5000 0.0000 0.5000
```

symmetry	P4/mmm
crystal system	tetragonal
E_form (uncorrected)	0.310	eV per atom
energy relative to the lowest polymorph listed for this composition	0.427	eV/atom